1.
NaNd2Cd: relaxed, PBE.

a = 5.5008 Å, b = 5.5008 Å, c = 4.0111 Å
α = 90.00°, β = 90.00°, γ = 90.00°
Fractional positions:
Na 0.0000 0.0000 0.0000
Nd 0.0000 0.5000 0.5000
Nd 0.5000 0.0000 0.5000
Cd 0.5000 0.5000 0.0000

Output
calculated volume = 121.4 Å³ per cell
E above lowest polymorph = 0.019 eV per atom
total magnetization = 0.00 Bohr magnetons per cell
Fermi-level density of states = 4.868 states/eV/f.u.
E_tot = -2.94 eV/atom
energy relative to the elements = -0.01 kJ per mole of atoms



2.
ScCuBRh2: relaxed, PBE.

a = 4.1494 Å, b = 4.1494 Å, c = 4.0001 Å
α = 90.00°, β = 90.00°, γ = 90.00°
Fractional positions:
Sc 0.0000 0.0000 0.0000
Cu 0.5000 0.5000 0.0000
B 0.5000 0.5000 0.5000
Rh 0.0000 0.5000 0.5000
Rh 0.5000 0.0000 0.5000

Output
calculated volume = 68.9 Å³ per cell
total magnetization = 0.00 Bohr magnetons per cell
Fermi-level density of states = 1.867 states/eV/f.u.
E_tot = -6.93 eV/atom
energy relative to the elements = -54.73 kJ per mole of atoms



3.
PrPuIr: relaxed, PBE.

a = 4.5619 Å, b = 4.5619 Å, c = 4.3928 Å
α = 90.00°, β = 90.00°, γ = 120.00°
Fractional positions:
Pr 0.0000 0.0000 0.0000
Pu 0.6667 0.3333 0.5000
Ir 0.3333 0.6667 0.5000

Output
calculated volume = 79.2 Å³ per cell
E above lowest polymorph = 0.297 eV per atom
total magnetization = 5.89 Bohr magnetons per cell
Fermi-level density of states = 7.645 states/eV/f.u.
E_tot = -9.49 eV/atom
energy relative to the elements = -16.28 kJ per mole of atoms



4.
PuThNiPd: relaxed, PBE.

a = 4.9724 Å, b = 4.9724 Å, c = 4.9724 Å
α = 60.00°, β = 60.00°, γ = 60.00°
Fractional positions:
Pu 0.0000 0.0000 0.0000
Th 0.5000 0.5000 0.5000
Ni 0.2500 0.2500 0.2500
Pd 0.7500 0.7500 0.7500

Output
calculated volume = 86.9 Å³ per cell
total magnetization = 5.70 Bohr magnetons per cell
Fermi-level density of states = 12.271 states/eV/f.u.
E_tot = -8.50 eV/atom
energy relative to the elements = -31.15 kJ per mole of atoms



5.
Sm2TmP3: relaxed, PBE.

a = 7.0255 Å, b = 7.0255 Å, c = 7.0234 Å
α = 99.59°, β = 99.59°, γ = 120.00°
Fractional positions:
Sm 0.0000 0.0000 0.0000
Sm 0.1657 0.8343 0.5000
Sm 0.5000 0.5000 0.5000
Sm 0.8343 0.1657 0.5000
Tm 0.3330 0.6670 0.0000
Tm 0.6670 0.3330 0.0000
P 0.0813 0.4198 0.2438
P 0.2577 0.2577 0.7572
P 0.4198 0.0813 0.2438
P 0.5802 0.9187 0.7562
P 0.7423 0.7423 0.2428
P 0.9187 0.5802 0.7562

Output
calculated volume = 283.1 Å³ per cell
total magnetization = 0.00 Bohr magnetons per cell
Fermi-level density of states = 0.811 states/eV/f.u.
E_tot = -6.60 eV/atom
energy relative to the elements = -151.89 kJ per mole of atoms



6.
Li2PmY2Ge2: relaxed, PBE.

a = 9.4750 Å, b = 9.4750 Å, c = 9.4750 Å
α = 27.39°, β = 27.39°, γ = 27.39°
Fractional positions:
Li 0.0979 0.0979 0.0979
Li 0.9021 0.9021 0.9021
Pm 0.5000 0.5000 0.5000
Y 0.3730 0.3730 0.3730
Y 0.6270 0.6270 0.6270
Ge 0.2380 0.2380 0.2380
Ge 0.7620 0.7620 0.7620

Output
calculated volume = 158.9 Å³ per cell
total magnetization = 0.00 Bohr magnetons per cell
Fermi-level density of states = 2.926 states/eV/f.u.
E_tot = -4.90 eV/atom
energy relative to the elements = -48.60 kJ per mole of atoms



7.
Sm4Er5Mg: relaxed, PBE.

a = 8.0619 Å, b = 8.0619 Å, c = 8.0619 Å
α = 97.22°, β = 97.22°, γ = 138.49°
Fractional positions:
Sm 0.0000 0.3182 0.3182
Sm 0.0000 0.6818 0.6818
Sm 0.3182 0.0000 0.3182
Sm 0.6818 0.0000 0.6818
Er 0.3244 0.3244 0.6296
Er 0.3244 0.6948 0.0000
Er 0.6948 0.3244 0.0000
Er 0.6948 0.6948 0.3704
Er 0.7938 0.7938 0.0000
Mg 0.2756 0.2756 0.0000

Output
calculated volume = 324.8 Å³ per cell
E above lowest polymorph = 0.186 eV per atom
total magnetization = 0.00 Bohr magnetons per cell
Fermi-level density of states = 12.122 states/eV/f.u.
E_tot = -4.14 eV/atom
energy relative to the elements = 18.21 kJ per mole of atoms



8.
Be2CrIr3: relaxed, PBE.

a = 2.8021 Å, b = 2.8021 Å, c = 8.9677 Å
α = 90.00°, β = 90.00°, γ = 90.00°
Fractional positions:
Be 0.0000 0.0000 0.1500
Be 0.0000 0.0000 0.8500
Cr 0.0000 0.0000 0.5000
Ir 0.5000 0.5000 0.0000
Ir 0.5000 0.5000 0.3149
Ir 0.5000 0.5000 0.6851

Output
calculated volume = 70.4 Å³ per cell
total magnetization = 0.00 Bohr magnetons per cell
Fermi-level density of states = 4.353 states/eV/f.u.
E_tot = -7.73 eV/atom
energy relative to the elements = -43.62 kJ per mole of atoms



9.
LaMgGePt2: relaxed, PBE.

a = 4.6649 Å, b = 4.6649 Å, c = 5.7009 Å
α = 90.00°, β = 90.00°, γ = 90.00°
Fractional positions:
La 0.0000 0.0000 0.0000
Mg 0.0000 0.0000 0.5000
Ge 0.5000 0.5000 0.0000
Pt 0.0000 0.5000 0.5000
Pt 0.5000 0.0000 0.5000

Output
calculated volume = 124.1 Å³ per cell
total magnetization = 0.00 Bohr magnetons per cell
Fermi-level density of states = 4.848 states/eV/f.u.
E_tot = -4.27 eV/atom
energy relative to the elements = 36.16 kJ per mole of atoms



10.
Nd2Zn5Cd3: relaxed, PBE.

a = 8.9357 Å, b = 8.9357 Å, c = 8.9357 Å
α = 105.31°, β = 88.79°, γ = 139.21°
Fractional positions:
Nd 0.1240 0.2359 0.3599
Nd 0.3760 0.7359 0.1118
Nd 0.6240 0.2641 0.8882
Nd 0.8760 0.7641 0.6401
Zn 0.0255 0.7500 0.2755
Zn 0.1267 0.6453 0.7720
Zn 0.2500 0.2500 0.0000
Zn 0.3733 0.1453 0.5185
Zn 0.4745 0.7500 0.7245
Zn 0.5255 0.2500 0.2755
Zn 0.6267 0.8547 0.4815
Zn 0.7500 0.7500 0.0000
Zn 0.8733 0.3547 0.2280
Zn 0.9745 0.2500 0.7245
Cd 0.1366 0.8819 0.0185
Cd 0.2500 0.7500 0.5000
Cd 0.3634 0.3819 0.7453
Cd 0.6366 0.6181 0.2547
Cd 0.7500 0.2500 0.5000
Cd 0.8634 0.1181 0.9815

Output
calculated volume = 431.1 Å³ per cell
total magnetization = 0.00 Bohr magnetons per cell
Fermi-level density of states = 7.328 states/eV/f.u.
E_tot = -2.10 eV/atom
energy relative to the elements = -22.66 kJ per mole of atoms



11.
Er2Zn3: relaxed, PBE.

a = 13.4303 Å, b = 13.4303 Å, c = 4.4531 Å
α = 90.00°, β = 90.00°, γ = 164.83°
Fractional positions:
Er 0.0729 0.9271 0.7500
Er 0.2095 0.7905 0.2500
Er 0.7905 0.2095 0.7500
Er 0.9271 0.0729 0.2500
Zn 0.3287 0.6713 0.2500
Zn 0.3817 0.6183 0.7500
Zn 0.4769 0.5231 0.7500
Zn 0.5231 0.4769 0.2500
Zn 0.6183 0.3817 0.2500
Zn 0.6713 0.3287 0.7500

Output
calculated volume = 210.2 Å³ per cell
total magnetization = 0.00 Bohr magnetons per cell
Fermi-level density of states = 4.102 states/eV/f.u.
E_tot = -2.93 eV/atom
energy relative to the elements = -32.79 kJ per mole of atoms



12.
NpTl2GaSe5: relaxed, PBE.

a = 9.6561 Å, b = 9.6561 Å, c = 14.0675 Å
α = 90.00°, β = 90.00°, γ = 155.58°
Fractional positions:
Np 0.1994 0.8006 0.5000
Np 0.8006 0.1994 0.0000
Tl 0.1181 0.8819 0.1504
Tl 0.1195 0.8805 0.8047
Tl 0.8805 0.1195 0.3047
Tl 0.8819 0.1181 0.6504
Ga 0.4364 0.5636 0.8926
Ga 0.5636 0.4364 0.3926
Se 0.0472 0.9528 0.4986
Se 0.2981 0.7019 0.1309
Se 0.3065 0.6935 0.8598
Se 0.3387 0.6613 0.4845
Se 0.4992 0.5008 0.7492
Se 0.5008 0.4992 0.2492
Se 0.6613 0.3387 0.9845
Se 0.6935 0.3065 0.3598
Se 0.7019 0.2981 0.6309
Se 0.9528 0.0472 0.9986

Output
calculated volume = 542.4 Å³ per cell
total magnetization = 4.18 Bohr magnetons per cell
Fermi-level density of states = 6.319 states/eV/f.u.
E_tot = -4.89 eV/atom
formation energy from raw total energies = -651 meV/atom



E_tot of number 2 (ScCuBRh2)? -6.93 eV/atom